No. 1
The following is a GGA-PBE calculation of a geometry-optimized Pm3OsSe2O6 structure, from the Alexandria database.

Unit cell a=6.984 b=6.984 c=5.378 alpha=96.16 beta=96.16 gamma=58.01
Sites, in units of the cell vectors:
Pm 0.000 0.000 0.000
Pm 0.000 0.500 0.500
Pm 0.500 0.000 0.500
Os 0.500 0.500 0.500
Se 0.216 0.216 0.901
Se 0.784 0.784 0.099
O 0.235 0.661 0.702
O 0.339 0.765 0.298
O 0.351 0.351 0.339
O 0.649 0.649 0.661
O 0.661 0.235 0.702
O 0.765 0.339 0.298

Electronic total energy   -0.255 hartree per atom
Size of the total moment   0.99 μB/f.u.

***

No. 2
The following is a GGA-PBE calculation of a geometry-optimized B2H6I structure, from the Alexandria database.

Unit cell a=8.519 b=8.519 c=3.480 alpha=95.62 beta=95.62 gamma=82.34
Sites, in units of the cell vectors:
B 0.106 0.226 0.103
B 0.226 0.106 0.603
B 0.774 0.894 0.397
B 0.894 0.774 0.897
H 0.035 0.759 0.982
H 0.089 0.158 0.417
H 0.158 0.089 0.917
H 0.176 0.338 0.135
H 0.241 0.965 0.518
H 0.338 0.176 0.635
H 0.662 0.824 0.365
H 0.759 0.035 0.482
H 0.824 0.662 0.865
H 0.842 0.911 0.083
H 0.911 0.842 0.583
H 0.965 0.241 0.018
I 0.386 0.614 0.750
I 0.614 0.386 0.250

Electronic total energy   -0.140 hartree per atom
Size of the total moment   0.00 μB/f.u.

***

No. 3
The following is a GGA-PBE calculation of a geometry-optimized LaNdSmCo structure, from the Alexandria database.

Unit cell a=3.648 b=4.912 c=12.977 alpha=90.00 beta=90.00 gamma=90.00
Sites, in units of the cell vectors:
La 0.000 0.000 0.000
La 0.000 0.500 0.500
Nd 0.500 0.000 0.652
Nd 0.500 0.500 0.152
Sm 0.500 0.000 0.337
Sm 0.500 0.500 0.837
Co 0.000 0.000 0.817
Co 0.000 0.500 0.317

Electronic total energy   -0.197 hartree per atom
Size of the total moment   0.00 μB/f.u.

***

No. 4
The following is a GGA-PBE calculation of a geometry-optimized Pm4Ho2N structure, from the Alexandria database.

Unit cell a=4.959 b=4.959 c=17.600 alpha=90.00 beta=90.00 gamma=90.00
Sites, in units of the cell vectors:
Pm 0.000 0.000 0.136
Pm 0.000 0.000 0.864
Pm 0.000 0.500 0.000
Pm 0.000 0.500 0.500
Pm 0.500 0.000 0.000
Pm 0.500 0.000 0.500
Pm 0.500 0.500 0.364
Pm 0.500 0.500 0.636
Ho 0.000 0.000 0.336
Ho 0.000 0.000 0.664
Ho 0.500 0.500 0.164
Ho 0.500 0.500 0.836
N 0.000 0.000 0.000
N 0.500 0.500 0.500

Electronic total energy   -0.199 hartree per atom
Size of the total moment   0.00 μB/f.u.

***

No. 5
The following is a GGA-PBE calculation of a geometry-optimized Mg3Ag4 structure, from the Alexandria database.

Unit cell a=5.532 b=5.532 c=5.206 alpha=90.00 beta=90.00 gamma=120.00
Sites, in units of the cell vectors:
Mg 0.000 0.500 0.000
Mg 0.500 0.000 0.000
Mg 0.500 0.500 0.000
Ag 0.000 0.000 0.252
Ag 0.000 0.000 0.748
Ag 0.333 0.667 0.500
Ag 0.667 0.333 0.500

Electronic total energy   -0.083 hartree per atom
Size of the total moment   0.00 μB/f.u.

***

No. 6
The following is a GGA-PBE calculation of a geometry-optimized Pr6Ge2S3Br structure, from the Alexandria database.

Unit cell a=9.430 b=9.430 c=8.526 alpha=102.06 beta=102.06 gamma=25.82
Sites, in units of the cell vectors:
Pr 0.002 0.002 0.279
Pr 0.324 0.324 0.907
Pr 0.333 0.333 0.415
Pr 0.667 0.667 0.585
Pr 0.676 0.676 0.093
Pr 0.998 0.998 0.721
Ge 0.165 0.165 0.331
Ge 0.835 0.835 0.669
S 0.163 0.163 0.837
S 0.500 0.500 0.500
S 0.837 0.837 0.163
Br 0.500 0.500 0.000

Electronic total energy   -0.216 hartree per atom
Size of the total moment   0.00 μB/f.u.

***

No. 7
The following is a GGA-PBE calculation of a geometry-optimized GaPBr2 structure, from the Alexandria database.

Unit cell a=3.404 b=3.404 c=28.973 alpha=90.00 beta=90.00 gamma=120.00
Sites, in units of the cell vectors:
Ga 0.000 0.000 0.000
Ga 0.333 0.667 0.667
Ga 0.667 0.333 0.333
P 0.000 0.000 0.500
P 0.333 0.667 0.167
P 0.667 0.333 0.833
Br 0.000 0.000 0.096
Br 0.000 0.000 0.904
Br 0.333 0.667 0.571
Br 0.333 0.667 0.762
Br 0.667 0.333 0.238
Br 0.667 0.333 0.429

Electronic total energy   -0.091 hartree per atom
Size of the total moment   0.00 μB/f.u.

***

No. 8
The following is a GGA-PBE calculation of a geometry-optimized Li4ErAu2 structure, from the Alexandria database.

Unit cell a=7.634 b=7.634 c=4.348 alpha=90.00 beta=90.00 gamma=90.00
Sites, in units of the cell vectors:
Li 0.100 0.351 0.000
Li 0.149 0.600 0.500
Li 0.351 0.100 0.000
Li 0.400 0.851 0.500
Li 0.600 0.149 0.500
Li 0.649 0.900 0.000
Li 0.851 0.400 0.500
Li 0.900 0.649 0.000
Er 0.000 0.000 0.500
Er 0.500 0.500 0.000
Au 0.211 0.789 0.000
Au 0.289 0.289 0.500
Au 0.711 0.711 0.500
Au 0.789 0.211 0.000

Electronic total energy   -0.116 hartree per atom
Size of the total moment   0.00 μB/f.u.

***

No. 9
The following is a GGA-PBE calculation of a geometry-optimized NaTl2Cd2In structure, from the Alexandria database.

Unit cell a=5.467 b=8.910 c=6.751 alpha=90.00 beta=90.00 gamma=90.00
Sites, in units of the cell vectors:
Na 0.000 0.000 0.000
Na 0.000 0.000 0.500
Tl 0.000 0.331 0.251
Tl 0.000 0.669 0.751
Tl 0.500 0.499 0.000
Tl 0.500 0.501 0.500
Cd 0.000 0.324 0.751
Cd 0.000 0.676 0.251
Cd 0.500 0.166 0.249
Cd 0.500 0.834 0.749
In 0.500 0.168 0.748
In 0.500 0.832 0.248

Electronic total energy   -0.066 hartree per atom
Size of the total moment   0.00 μB/f.u.

***

No. 10
The following is a GGA-PBE calculation of a geometry-optimized Tl2SiPb structure, from the Alexandria database.

Unit cell a=3.474 b=3.474 c=31.652 alpha=90.00 beta=90.00 gamma=120.00
Sites, in units of the cell vectors:
Tl 0.000 0.000 0.238
Tl 0.000 0.000 0.762
Tl 0.333 0.667 0.428
Tl 0.333 0.667 0.905
Tl 0.667 0.333 0.095
Tl 0.667 0.333 0.572
Si 0.000 0.000 0.500
Si 0.333 0.667 0.167
Si 0.667 0.333 0.833
Pb 0.000 0.000 0.000
Pb 0.333 0.667 0.667
Pb 0.667 0.333 0.333

Electronic total energy   -0.116 hartree per atom
Size of the total moment   0.00 μB/f.u.

***

No. 11
The following is a GGA-PBE calculation of a geometry-optimized Tc2Mo2H structure, from the Alexandria database.

Unit cell a=4.095 b=4.095 c=10.947 alpha=90.00 beta=90.00 gamma=90.00
Sites, in units of the cell vectors:
Tc 0.000 0.000 0.119
Tc 0.000 0.000 0.881
Tc 0.500 0.500 0.381
Tc 0.500 0.500 0.619
Mo 0.000 0.500 0.250
Mo 0.000 0.500 0.750
Mo 0.500 0.000 0.250
Mo 0.500 0.000 0.750
H 0.000 0.000 0.500
H 0.500 0.500 0.000

Electronic total energy   -0.293 hartree per atom
Size of the total moment   0.00 μB/f.u.

***

No. 12
The following is a GGA-PBE calculation of a geometry-optimized NaCa2Hg structure, from the Alexandria database.

Unit cell a=3.932 b=3.932 c=34.555 alpha=90.00 beta=90.00 gamma=120.00
Sites, in units of the cell vectors:
Na 0.000 0.000 0.000
Na 0.333 0.667 0.667
Na 0.667 0.333 0.333
Ca 0.000 0.000 0.104
Ca 0.000 0.000 0.896
Ca 0.333 0.667 0.563
Ca 0.333 0.667 0.771
Ca 0.667 0.333 0.229
Ca 0.667 0.333 0.437
Hg 0.000 0.000 0.500
Hg 0.333 0.667 0.167
Hg 0.667 0.333 0.833

Electronic total energy   -0.056 hartree per atom
Size of the total moment   0.00 μB/f.u.